DFT (PBE) results for Rb3NaH6Au2 after structural relaxation.

a = 6.279 Å, b = 6.279 Å, c = 7.389 Å
α = 90.00°, β = 90.00°, γ = 120.00°
Fractional coordinates of all 12 atoms:
Rb 0.000 0.000 0.000
Rb 0.333 0.667 0.722
Rb 0.667 0.333 0.278
Na 0.000 0.000 0.500
H 0.173 0.346 0.282
H 0.173 0.827 0.282
H 0.346 0.173 0.718
H 0.654 0.827 0.282
H 0.827 0.173 0.718
H 0.827 0.654 0.718
Au 0.333 0.667 0.274
Au 0.667 0.333 0.726

Summary:
- VASP energy: -0.1016 Ha/atom
- Space group: P-3m1
- Crystal system: trigonal

DFT (PBE) results for PaInPt2O8 after structural relaxation.

a = 6.038 Å, b = 6.038 Å, c = 6.038 Å
α = 109.75°, β = 109.75°, γ = 108.91°
Fractional coordinates of all 12 atoms:
Pa 0.000 0.000 0.000
In 0.250 0.750 0.500
Pt 0.500 0.500 0.000
Pt 0.750 0.250 0.500
O 0.281 0.107 0.826
O 0.281 0.455 0.174
O 0.360 0.034 0.326
O 0.545 0.719 0.826
O 0.708 0.034 0.674
O 0.893 0.719 0.174
O 0.966 0.292 0.326
O 0.966 0.640 0.674

Summary:
- Formation energy without anion corrections: -1279 meV per atom
- VASP energy: -0.2430 Ha/atom
- Space group: I-4m2
- Crystal system: tetragonal

DFT (PBE) results for NpTeH2O8 after structural relaxation.

a = 4.869 Å, b = 5.224 Å, c = 6.590 Å
α = 92.92°, β = 98.40°, γ = 90.59°
Fractional coordinates of all 12 atoms:
Np 0.000 0.000 0.000
Te 0.000 0.000 0.500
H 0.443 0.248 0.602
H 0.557 0.752 0.398
O 0.196 0.853 0.747
O 0.228 0.845 0.310
O 0.232 0.269 0.029
O 0.249 0.298 0.540
O 0.751 0.702 0.460
O 0.768 0.731 0.971
O 0.772 0.155 0.690
O 0.804 0.147 0.253

Summary:
- VASP energy: -0.2378 Ha/atom
- Space group: P-1
- Crystal system: triclinic

DFT (PBE) results for Tb6PmIn3 after structural relaxation.

a = 9.286 Å, b = 9.286 Å, c = 7.755 Å
α = 90.00°, β = 90.00°, γ = 110.92°
Fractional coordinates of all 20 atoms:
Tb 0.049 0.951 0.500
Tb 0.075 0.450 0.004
Tb 0.233 0.300 0.691
Tb 0.300 0.233 0.191
Tb 0.302 0.698 0.672
Tb 0.450 0.075 0.504
Tb 0.550 0.925 0.004
Tb 0.698 0.302 0.172
Tb 0.700 0.767 0.691
Tb 0.767 0.700 0.191
Tb 0.925 0.550 0.504
Tb 0.951 0.049 0.000
Pm 0.217 0.783 0.215
Pm 0.783 0.217 0.715
In 0.012 0.279 0.366
In 0.279 0.012 0.866
In 0.447 0.553 0.977
In 0.553 0.447 0.477
In 0.721 0.988 0.366
In 0.988 0.721 0.866

Summary:
- Distance to the lowest polymorph of the same formula: 126 meV/atom
- VASP energy: -0.1550 Ha/atom
- Space group: Cmc2_1
- Crystal system: orthorhombic
- E_form: -144 meV per atom

DFT (PBE) results for ZnCrCl2 after structural relaxation.

a = 12.273 Å, b = 3.367 Å, c = 6.395 Å
α = 90.00°, β = 121.02°, γ = 90.00°
Fractional coordinates of all 8 atoms:
Zn 0.000 0.000 0.000
Zn 0.500 0.500 0.000
Cr 0.000 0.500 0.500
Cr 0.500 0.000 0.500
Cl 0.156 0.000 0.655
Cl 0.344 0.500 0.345
Cl 0.656 0.500 0.655
Cl 0.844 0.000 0.345

Summary:
- Formation energy without anion corrections: -451 meV per atom
- Distance to the lowest polymorph of the same formula: 32 meV/atom
- VASP energy: -0.1506 Ha/atom
- Space group: C2/m
- Crystal system: monoclinic

DFT (PBE) results for TiSbIO2 after structural relaxation.

a = 4.074 Å, b = 4.074 Å, c = 5.884 Å
α = 90.00°, β = 90.00°, γ = 90.00°
Fractional coordinates of all 5 atoms:
Ti 0.000 0.000 0.000
Sb 0.500 0.500 0.500
I 0.000 0.000 0.500
O 0.000 0.500 0.000
O 0.500 0.000 0.000

Summary:
- Formation energy without anion corrections: -828 meV per atom
- Distance to the lowest polymorph of the same formula: 0 meV/atom
- VASP energy: -0.2030 Ha/atom
- Space group: P4/mmm
- Crystal system: tetragonal

DFT (PBE) results for AlTlOs2 after structural relaxation.

a = 2.941 Å, b = 2.941 Å, c = 26.946 Å
α = 90.00°, β = 90.00°, γ = 120.00°
Fractional coordinates of all 12 atoms:
Al 0.000 0.000 0.000
Al 0.333 0.667 0.667
Al 0.667 0.333 0.333
Tl 0.000 0.000 0.240
Tl 0.333 0.667 0.906
Tl 0.667 0.333 0.573
Os 0.000 0.000 0.482
Os 0.000 0.000 0.740
Os 0.333 0.667 0.148
Os 0.333 0.667 0.407
Os 0.667 0.333 0.074
Os 0.667 0.333 0.815

Summary:
- Distance to the lowest polymorph of the same formula: 189 meV/atom
- VASP energy: -0.2472 Ha/atom
- Space group: R3m
- Crystal system: trigonal
- E_form: 416 meV per atom

DFT (PBE) results for TlRuN2O after structural relaxation.

a = 3.843 Å, b = 3.843 Å, c = 4.349 Å
α = 90.00°, β = 90.00°, γ = 90.00°
Fractional coordinates of all 5 atoms:
Tl 0.000 0.000 0.000
Ru 0.500 0.500 0.500
N 0.000 0.500 0.500
N 0.500 0.000 0.500
O 0.500 0.500 0.000

Summary:
- Formation energy without anion corrections: 512 meV per atom
- VASP energy: -0.2256 Ha/atom
- Space group: P4/mmm
- Crystal system: tetragonal

DFT (PBE) results for KBaCl4 after structural relaxation.

a = 6.259 Å, b = 6.259 Å, c = 6.259 Å
α = 60.00°, β = 60.00°, γ = 60.00°
Fractional coordinates of all 6 atoms:
K 0.000 0.000 0.000
Ba 0.750 0.750 0.750
Cl 0.375 0.375 0.375
Cl 0.375 0.375 0.874
Cl 0.375 0.874 0.375
Cl 0.874 0.375 0.375

Summary:
- Formation energy without anion corrections: -1178 meV per atom
- VASP energy: -0.1070 Ha/atom
- Space group: F-43m
- Crystal system: cubic

DFT (PBE) results for K2MgCo after structural relaxation.

a = 7.060 Å, b = 10.294 Å, c = 3.859 Å
α = 90.00°, β = 90.00°, γ = 90.00°
Fractional coordinates of all 8 atoms:
K 0.250 0.250 0.000
K 0.250 0.750 0.000
K 0.750 0.250 0.000
K 0.750 0.750 0.000
Mg 0.000 0.000 0.500
Mg 0.500 0.500 0.500
Co 0.000 0.500 0.500
Co 0.500 0.000 0.500

Summary:
- VASP energy: -0.0687 Ha/atom
- Space group: Cmmm
- Crystal system: orthorhombic
- E_form: 854 meV per atom

DFT (PBE) results for Pr3Pu4Te8 after structural relaxation.

a = 8.947 Å, b = 8.947 Å, c = 8.933 Å
α = 119.87°, β = 119.87°, γ = 90.20°
Fractional coordinates of all 15 atoms:
Pr 0.000 0.000 0.000
Pr 0.000 0.500 0.500
Pr 0.500 0.000 0.500
Pu 0.000 0.500 0.000
Pu 0.500 0.000 0.000
Pu 0.500 0.500 0.000
Pu 0.500 0.500 0.500
Te 0.247 0.753 0.500
Te 0.250 0.250 0.506
Te 0.250 0.250 0.996
Te 0.252 0.748 0.000
Te 0.748 0.252 0.000
Te 0.750 0.750 0.004
Te 0.750 0.750 0.494
Te 0.753 0.247 0.500

Summary:
- Formation energy without anion corrections: -1240 meV per atom
- VASP energy: -0.2827 Ha/atom
- Space group: C2/m
- Crystal system: monoclinic

DFT (PBE) results for PmTmTlCu after structural relaxation.

a = 7.376 Å, b = 7.376 Å, c = 7.376 Å
α = 90.00°, β = 90.00°, γ = 90.00°
Fractional coordinates of all 16 atoms:
Pm 0.000 0.000 0.000
Pm 0.000 0.500 0.500
Pm 0.500 0.000 0.500
Pm 0.500 0.500 0.000
Tm 0.000 0.000 0.500
Tm 0.000 0.500 0.000
Tm 0.500 0.000 0.000
Tm 0.500 0.500 0.500
Tl 0.250 0.250 0.250
Tl 0.250 0.750 0.750
Tl 0.750 0.250 0.750
Tl 0.750 0.750 0.250
Cu 0.250 0.250 0.750
Cu 0.250 0.750 0.250
Cu 0.750 0.250 0.250
Cu 0.750 0.750 0.750

Summary:
- VASP energy: -0.1524 Ha/atom
- Space group: F-43m
- Crystal system: cubic
- E_form: -227 meV per atom

Question: What is the formula in the fourth record?
Answer: Tb6PmIn3